# ErGeBRh3

Crystalline ErGeBRh3 at its relaxed geometry (PBE, Alexandria via LeMat-Bulk).

a = 5.735 Å, b = 5.671 Å, c = 6.670 Å
α = 115.16°, β = 90.00°, γ = 90.00°
Positions (direct):
Rh 0.000 0.745 0.000
Rh 0.750 0.821 0.642
Rh 0.500 0.745 0.000
Rh 0.000 0.255 0.000
Rh 0.500 0.255 0.000
Rh 0.250 0.179 0.358
B 0.250 0.006 0.011
B 0.750 0.994 0.989
Ge 0.250 0.373 0.746
Ge 0.750 0.627 0.254
Er 0.750 0.259 0.518
Er 0.250 0.741 0.482

Computed properties:
uncorrected energy = -6.967 eV/atom
symmetry = Cmcm (63)
DOS(E_F) = 6.2 states/eV per cell
DFT formation energy = -648 meV per atom


# KLi3Nb

Crystalline KLi3Nb at its relaxed geometry (PBE, Alexandria via LeMat-Bulk).

a = 5.547 Å, b = 5.547 Å, c = 5.547 Å
α = 90.00°, β = 90.00°, γ = 90.00°
Positions (direct):
Li 0.000 0.000 0.500
Li 0.000 0.500 0.000
Li 0.500 0.000 0.000
Nb 0.000 0.000 0.000
K 0.500 0.500 0.500

Computed properties:
uncorrected energy = -2.428 eV/atom
distance to the lowest polymorph of the same formula = 0.000 eV per atom
symmetry = Pm-3m (221)
DOS(E_F) = 2.5 states/eV per cell
DFT formation energy = 954 meV per atom


# V3ReSe

Crystalline V3ReSe at its relaxed geometry (PBE, Alexandria via LeMat-Bulk).

a = 4.635 Å, b = 4.635 Å, c = 4.635 Å
α = 90.00°, β = 90.00°, γ = 90.00°
Positions (direct):
V 0.000 0.500 0.000
V 0.500 0.000 0.000
V 0.000 0.000 0.500
Re 0.000 0.000 0.000
Se 0.500 0.500 0.500

Computed properties:
uncorrected energy = -7.520 eV/atom
distance to the lowest polymorph of the same formula = 0.195 eV per atom
symmetry = Pm-3m (221)
DOS(E_F) = 7.5 states/eV per cell
ΔE_f (raw) = 1.138 eV/atom


# Na3Tb3InTe8

Crystalline Na3Tb3InTe8 at its relaxed geometry (PBE, Alexandria via LeMat-Bulk).

a = 8.694 Å, b = 8.714 Å, c = 9.245 Å
α = 118.20°, β = 90.00°, γ = 119.92°
Positions (direct):
Na 0.500 0.500 0.000
Na 0.000 0.000 0.000
Na 0.000 0.500 0.000
Tb 0.500 0.000 0.500
Tb 0.500 0.500 0.500
Tb 0.000 0.500 0.500
Te 0.747 0.988 0.730
Te 0.242 0.483 0.730
Te 0.253 0.012 0.270
Te 0.758 0.012 0.270
Te 0.242 0.988 0.730
Te 0.758 0.517 0.270
Te 0.744 0.489 0.733
Te 0.256 0.511 0.267
In 0.000 0.000 0.500

Computed properties:
uncorrected energy = -4.084 eV/atom
symmetry = C2/m (12)
DOS(E_F) = 8.2 states/eV per cell
ΔE_f (raw) = -1.036 eV/atom


# SmLuAlRh

Crystalline SmLuAlRh at its relaxed geometry (PBE, Alexandria via LeMat-Bulk).

a = 4.994 Å, b = 4.994 Å, c = 4.994 Å
α = 60.00°, β = 60.00°, γ = 60.00°
Positions (direct):
Lu 0.250 0.250 0.250
Sm 0.750 0.750 0.750
Al 0.500 0.500 0.500
Rh 0.000 0.000 0.000

Computed properties:
uncorrected energy = -5.618 eV/atom
symmetry = F-43m (216)
DOS(E_F) = 3.3 states/eV per cell
DFT formation energy = -535 meV per atom


# LaHfAl2Tc

Crystalline LaHfAl2Tc at its relaxed geometry (PBE, Alexandria via LeMat-Bulk).

a = 4.867 Å, b = 4.945 Å, c = 4.867 Å
α = 90.00°, β = 90.00°, γ = 90.00°
Positions (direct):
La 0.500 0.500 0.500
Al 0.500 0.000 0.000
Al 0.000 0.000 0.500
Hf 0.000 0.500 0.000
Tc 0.000 0.000 0.000

Computed properties:
uncorrected energy = -6.700 eV/atom
symmetry = P4/mmm (123)
DOS(E_F) = 3.4 states/eV per cell
DFT formation energy = -154 meV per atom


# MnCo2Sb2

Crystalline MnCo2Sb2 at its relaxed geometry (PBE, Alexandria via LeMat-Bulk).

a = 6.773 Å, b = 6.773 Å, c = 3.496 Å
α = 90.00°, β = 90.00°, γ = 90.00°
Positions (direct):
Sb 0.829 0.329 0.500
Sb 0.171 0.671 0.500
Sb 0.329 0.171 0.500
Sb 0.671 0.829 0.500
Co 0.870 0.630 0.000
Co 0.630 0.130 0.000
Co 0.370 0.870 0.000
Co 0.130 0.370 0.000
Mn 0.500 0.500 0.000
Mn 0.000 0.000 0.000

Computed properties:
uncorrected energy = -6.164 eV/atom
symmetry = P4/mbm (127)
DOS(E_F) = 7.6 states/eV per cell
ΔE_f (raw) = 0.161 eV/atom


# Pm3Sm2Sc4

Crystalline Pm3Sm2Sc4 at its relaxed geometry (PBE, Alexandria via LeMat-Bulk).

a = 5.850 Å, b = 10.928 Å, c = 10.928 Å
α = 62.40°, β = 64.21°, γ = 64.21°
Positions (direct):
Sm 0.049 0.498 0.753
Sm 0.451 0.247 0.502
Sm 0.549 0.753 0.498
Sm 0.951 0.502 0.247
Pm 0.206 0.954 0.727
Pm 0.750 0.375 0.625
Pm 0.294 0.273 0.046
Pm 0.794 0.046 0.273
Pm 0.706 0.727 0.954
Pm 0.250 0.625 0.375
Sc 0.621 0.403 0.131
Sc 0.559 0.075 0.828
Sc 0.121 0.131 0.403
Sc 0.379 0.597 0.869
Sc 0.441 0.925 0.172
Sc 0.941 0.172 0.925
Sc 0.059 0.828 0.075
Sc 0.879 0.869 0.597

Computed properties:
uncorrected energy = -5.333 eV/atom
symmetry = C2/c (15)
DOS(E_F) = 28.1 states/eV per cell
DFT formation energy = 114 meV per atom